A relaxed structure of Li8GaAu6, computed with GGA-PBE.

As for the formation energy: -6.09 eV per formula unit. The space-group type is R-3, No. 148.

Unit cell a=7.005 b=7.005 c=7.005 alpha=66.41 beta=66.41 gamma=66.41
Positions (direct):
Li 0.052 0.378 0.713
Li 0.164 0.164 0.164
Li 0.287 0.948 0.622
Li 0.378 0.713 0.052
Li 0.622 0.287 0.948
Li 0.713 0.052 0.378
Li 0.836 0.836 0.836
Li 0.948 0.622 0.287
Ga 0.500 0.500 0.500
Au 0.111 0.787 0.451
Au 0.213 0.549 0.889
Au 0.451 0.111 0.787
Au 0.549 0.889 0.213
Au 0.787 0.451 0.111
Au 0.889 0.213 0.549


A relaxed structure of AgPd4Au3, computed with GGA-PBE.

As for the formation energy: 0.60 eV per formula unit. The space-group type is Imm2, No. 44.

Unit cell a=6.075 b=6.075 c=6.075 alpha=126.49 beta=78.34 gamma=127.40
Positions (direct):
Ag 0.000 0.000 0.000
Pd 0.006 0.756 0.250
Pd 0.506 0.256 0.750
Pd 0.506 0.756 0.750
Pd 0.506 0.757 0.250
Au 0.005 0.255 0.750
Au 0.015 0.515 0.500
Au 0.506 0.255 0.250


A relaxed structure of BaY2BO, computed with GGA-PBE.

The uncorrected formation energy comes out at -0.2308 eV per atom. The space-group type is P4/mmm, No. 123.

Unit cell a=4.548 b=4.548 c=6.782 alpha=90.00 beta=90.00 gamma=90.00
Positions (direct):
Ba 0.000 0.000 0.000
Y 0.000 0.500 0.500
Y 0.500 0.000 0.500
B 0.500 0.500 0.000
O 0.500 0.500 0.500


A relaxed structure of NaIn2Ni, computed with GGA-PBE.

As for the formation energy: 0.16 eV per formula unit. The space-group type is Fm-3m, No. 225.

Unit cell a=4.776 b=4.776 c=4.776 alpha=60.00 beta=60.00 gamma=60.00
Positions (direct):
Na 0.000 0.000 0.000
In 0.250 0.250 0.250
In 0.750 0.750 0.750
Ni 0.500 0.500 0.500


A relaxed structure of AlSi2Os, computed with GGA-PBE.

The uncorrected formation energy comes out at 0.1919 eV per atom. The space-group type is Pmmm, No. 47.

Unit cell a=3.074 b=4.221 c=4.315 alpha=90.00 beta=90.00 gamma=90.00
Positions (direct):
Al 0.000 0.000 0.000
Si 0.000 0.500 0.500
Si 0.500 0.500 0.000
Os 0.500 0.000 0.500


A relaxed structure of CoBP3, computed with GGA-PBE.

As for the formation energy: 4.58 eV per formula unit. The space-group type is Pm-3m, No. 221.

Unit cell a=3.978 b=3.978 c=3.978 alpha=90.00 beta=90.00 gamma=90.00
Positions (direct):
Co 0.000 0.000 0.000
B 0.500 0.500 0.500
P 0.000 0.500 0.500
P 0.500 0.000 0.500
P 0.500 0.500 0.000


A relaxed structure of Ni15Ge4As, computed with GGA-PBE.

As for the formation energy: -5.32 eV per formula unit. The space-group type is P4/mmm, No. 123.

Unit cell a=3.578 b=3.578 c=17.898 alpha=90.00 beta=90.00 gamma=90.00
Positions (direct):
Ni 0.000 0.000 0.000
Ni 0.000 0.000 0.199
Ni 0.000 0.000 0.400
Ni 0.000 0.000 0.600
Ni 0.000 0.000 0.801
Ni 0.000 0.500 0.100
Ni 0.000 0.500 0.300
Ni 0.000 0.500 0.500
Ni 0.000 0.500 0.700
Ni 0.000 0.500 0.900
Ni 0.500 0.000 0.100
Ni 0.500 0.000 0.300
Ni 0.500 0.000 0.500
Ni 0.500 0.000 0.700
Ni 0.500 0.000 0.900
Ge 0.500 0.500 0.202
Ge 0.500 0.500 0.400
Ge 0.500 0.500 0.600
Ge 0.500 0.500 0.798
As 0.500 0.500 0.000


A relaxed structure of TeRu2Pt, computed with GGA-PBE.

The uncorrected formation energy comes out at 0.3058 eV per atom. The space-group type is C2/m, No. 12.

Unit cell a=4.654 b=4.654 c=5.022 alpha=102.59 beta=102.59 gamma=38.78
Positions (direct):
Te 0.000 0.000 0.000
Ru 0.253 0.253 0.728
Ru 0.747 0.747 0.272
Pt 0.500 0.500 0.500


A relaxed structure of SiNi2Ir, computed with GGA-PBE.

The uncorrected formation energy comes out at 0.0480 eV per atom. The space-group type is I-42d, No. 122.

Unit cell a=8.984 b=8.984 c=8.984 alpha=157.55 beta=157.55 gamma=31.95
Positions (direct):
Si 0.000 0.000 0.000
Si 0.750 0.250 0.500
Ni 0.114 0.625 0.989
Ni 0.375 0.364 0.489
Ni 0.636 0.125 0.011
Ni 0.875 0.886 0.511
Ir 0.250 0.750 0.500
Ir 0.500 0.500 0.000


A relaxed structure of HfNi2HIr, computed with GGA-PBE.

Its total energy is -36.246 eV/cell. The space-group type is P4/mmm, No. 123.

Unit cell a=3.842 b=3.842 c=3.927 alpha=90.00 beta=90.00 gamma=90.00
Positions (direct):
Hf 0.000 0.000 0.000
Ni 0.000 0.500 0.500
Ni 0.500 0.000 0.500
H 0.500 0.500 0.500
Ir 0.500 0.500 0.000


A relaxed structure of TbVTc4, computed with GGA-PBE.

As for the formation energy: 0.64 eV per formula unit. The space-group type is F-43m, No. 216.

Unit cell a=5.253 b=5.253 c=5.253 alpha=60.00 beta=60.00 gamma=60.00
Positions (direct):
Tb 0.000 0.000 0.000
V 0.250 0.250 0.250
Tc 0.126 0.625 0.625
Tc 0.625 0.126 0.625
Tc 0.625 0.625 0.126
Tc 0.625 0.625 0.625


A relaxed structure of Pa5Tc3Sb3, computed with GGA-PBE.

The uncorrected formation energy comes out at 0.1568 eV per atom. The space-group type is P-62m, No. 189.

Unit cell a=9.388 b=9.388 c=3.350 alpha=90.00 beta=90.00 gamma=120.00
Positions (direct):
Pa 0.000 0.682 0.000
Pa 0.318 0.318 0.000
Pa 0.333 0.667 0.000
Pa 0.667 0.333 0.000
Pa 0.682 0.000 0.000
Tc 0.000 0.168 0.000
Tc 0.168 0.000 0.000
Tc 0.832 0.832 0.000
Sb 0.000 0.391 0.500
Sb 0.391 0.000 0.500
Sb 0.609 0.609 0.500


A relaxed structure of Rb2NaOsO6, computed with GGA-PBE.

The uncorrected formation energy comes out at -1.1635 eV per atom. The space-group type is P-3m1, No. 164.

Unit cell a=6.315 b=6.315 c=5.939 alpha=90.00 beta=90.00 gamma=120.00
Positions (direct):
Rb 0.333 0.667 0.165
Rb 0.667 0.333 0.835
Na 0.000 0.000 0.500
Os 0.000 0.000 0.000
O 0.139 0.278 0.816
O 0.139 0.861 0.816
O 0.278 0.139 0.184
O 0.722 0.861 0.816
O 0.861 0.139 0.184
O 0.861 0.722 0.184


A relaxed structure of Li2AcAsS, computed with GGA-PBE.

The uncorrected formation energy comes out at -1.2810 eV per atom. The space-group type is P4mm, No. 99.

Unit cell a=4.387 b=4.387 c=6.394 alpha=90.00 beta=90.00 gamma=90.00
Positions (direct):
Li 0.000 0.500 0.000
Li 0.500 0.000 0.000
Ac 0.000 0.000 0.582
As 0.500 0.500 0.710
S 0.000 0.000 0.131


A relaxed structure of ThAsS4I, computed with GGA-PBE.

The uncorrected formation energy comes out at -0.7169 eV per atom. The space-group type is C2/m, No. 12.

Unit cell a=7.361 b=7.361 c=8.172 alpha=100.88 beta=100.88 gamma=74.38
Positions (direct):
Th 0.226 0.226 0.125
Th 0.774 0.774 0.875
As 0.365 0.365 0.725
As 0.635 0.635 0.275
S 0.145 0.508 0.903
S 0.231 0.231 0.490
S 0.457 0.457 0.309
S 0.492 0.855 0.097
S 0.508 0.145 0.903
S 0.543 0.543 0.691
S 0.769 0.769 0.510
S 0.855 0.492 0.097
I 0.022 0.022 0.776
I 0.978 0.978 0.224


A relaxed structure of TbSc5Al6, computed with GGA-PBE.

As for the formation energy: -5.16 eV per formula unit. The space-group type is C2/m, No. 12.

Unit cell a=8.373 b=8.373 c=4.855 alpha=106.43 beta=106.43 gamma=47.71
Positions (direct):
Tb 0.000 0.000 0.000
Sc 0.162 0.162 0.662
Sc 0.331 0.331 0.331
Sc 0.500 0.500 0.000
Sc 0.669 0.669 0.669
Sc 0.838 0.838 0.338
Al 0.088 0.569 0.829
Al 0.269 0.731 0.500
Al 0.431 0.912 0.171
Al 0.569 0.088 0.829
Al 0.731 0.269 0.500
Al 0.912 0.431 0.171


A relaxed structure of CdP2IrS, computed with GGA-PBE.

The uncorrected formation energy comes out at 1.8358 eV per atom. The space-group type is P4/mmm, No. 123.

Unit cell a=4.785 b=4.785 c=4.825 alpha=90.00 beta=90.00 gamma=90.00
Positions (direct):
Cd 0.000 0.000 0.000
P 0.000 0.500 0.000
P 0.500 0.000 0.000
Ir 0.500 0.500 0.500
S 0.000 0.000 0.500


A relaxed structure of AcAlBi2O6, computed with GGA-PBE.

The uncorrected formation energy comes out at -2.1873 eV per atom. The space-group type is C2/c, No. 15.

Unit cell a=8.252 b=8.252 c=6.809 alpha=110.19 beta=110.19 gamma=109.02
Positions (direct):
Ac 0.100 0.900 0.750
Ac 0.900 0.100 0.250
Al 0.154 0.846 0.250
Al 0.846 0.154 0.750
Bi 0.297 0.543 0.921
Bi 0.457 0.703 0.579
Bi 0.543 0.297 0.421
Bi 0.703 0.457 0.079
O 0.065 0.205 0.732
O 0.129 0.687 0.972
O 0.196 0.461 0.555
O 0.205 0.065 0.232
O 0.313 0.871 0.528
O 0.461 0.196 0.055
O 0.539 0.804 0.945
O 0.687 0.129 0.472
O 0.795 0.935 0.768
O 0.804 0.539 0.445
O 0.871 0.313 0.028
O 0.935 0.795 0.268